Model 1:
ZrAg2 | GGA-PBEsol | optimized geometry

Lattice parameters (Å, degrees): 2.9900 2.9900 6.4448 103.41 103.41 90.00
Closest atoms and distances in Å follow each position.
Atoms (fractional coordinates):
Zr  0.0000  0.0000  0.0000  8 Ag 2.98, 4 Zr 2.99
Ag  0.6724  0.6724  0.3447  8 Ag 2.84-2.99, 4 Zr 2.98
Ag  0.3276  0.3276  0.6553  8 Ag 2.84-2.99, 4 Zr 2.98

Results
Calculated volume, A^3/atom: 18.14
ρ, g cm⁻³: 9.37
D(E_F), states/eV per atom: 0.792
SG: No. 139
Total moment, μB per cell: 0.0

---

Model 2:
ZrAg2 | GGA-PBEsol | optimized geometry

Lattice parameters (Å, degrees): 4.1674 4.2914 6.4845 90.00 108.74 90.00
Closest atoms and distances in Å follow each position.
Atoms (fractional coordinates):
Ag  0.5824  0.2500  0.1648  6 Ag 2.90-3.00, 6 Zr 2.96-2.99
Zr  0.9115  0.2500  0.8230  10 Ag 2.89-2.99, 2 Zr 3.05
Ag  0.4176  0.7500  0.8352  6 Ag 2.90-3.00, 6 Zr 2.96-2.99
Zr  0.0885  0.7500  0.1770  10 Ag 2.89-2.99, 2 Zr 3.05
Ag  0.7537  0.7500  0.5074  4 Zr 2.89-2.91, 8 Ag 2.90-3.00
Ag  0.2463  0.2500  0.4926  4 Zr 2.89-2.91, 8 Ag 2.90-3.00

Results
Calculated volume, A^3/atom: 18.30
ρ, g cm⁻³: 9.28
D(E_F), states/eV per atom: 0.896
SG: No. 63
Total moment, μB per cell: 1.3

---

List of relative energies, unit meV/atom: model 1 0; model 2 31

---

Model 1:
Zr3Ag2 | GGA-PBEsol | optimized geometry

Lattice parameters (Å, degrees): 3.1190 5.2712 6.6256 75.55 76.39 72.79
Closest atoms and distances in Å follow each position.
Atoms (fractional coordinates):
Ag  0.1124  0.1824  0.5929  4 Ag 2.84-3.12, 7 Zr 2.97-3.07
Zr  0.6828  0.4234  0.2111  7 Zr 2.96-3.15, 5 Ag 2.97-3.07
Ag  0.8876  0.8176  0.4071  4 Ag 2.84-3.12, 7 Zr 2.97-3.07
Zr  0.5000  0.0000  0.0000  8 Zr 2.96-3.15, 4 Ag 3.04
Zr  0.3172  0.5766  0.7889  7 Zr 2.96-3.15, 5 Ag 2.97-3.07

Results
Calculated volume, A^3/atom: 19.84
ρ, g cm⁻³: 8.19
D(E_F), states/eV per atom: 0.961
SG: No. 12
Total moment, μB per cell: 0.0

---

Model 2:
Zr3Ag2 | GGA-PBEsol | optimized geometry

Lattice parameters (Å, degrees): 3.0392 3.0392 10.8588 98.04 98.04 90.00
Closest atoms and distances in Å follow each position.
Atoms (fractional coordinates):
Zr  0.6974  0.6974  0.3948  4 Ag 3.03, 8 Zr 3.04-3.10
Zr  0.3026  0.3026  0.6052  4 Ag 3.03, 8 Zr 3.04-3.10
Zr  0.5000  0.5000  0.0000  8 Ag 2.98, 4 Zr 3.04
Ag  0.9027  0.9027  0.8054  8 Zr 2.98-3.03, 4 Ag 3.04
Ag  0.0973  0.0973  0.1946  8 Zr 2.98-3.03, 4 Ag 3.04

Results
Calculated volume, A^3/atom: 19.66
ρ, g cm⁻³: 8.27
D(E_F), states/eV per atom: 0.895
SG: No. 139
Total moment, μB per cell: 0.0

---

List of relative energies, unit meV/atom: model 1 38; model 2 0

---

Model 1:
Zr4Ag | GGA-PBEsol | optimized geometry

Lattice parameters (Å, degrees): 3.1480 3.1480 10.7882 98.39 98.39 90.00
Closest atoms and distances in Å follow each position.
Atoms (fractional coordinates):
Zr  0.5940  0.5940  0.1879  4 Ag 2.98, 8 Zr 3.12-3.15
Zr  0.1976  0.1976  0.3952  12 Zr 3.12-3.15
Zr  0.4060  0.4060  0.8121  4 Ag 2.98, 8 Zr 3.12-3.15
Zr  0.8024  0.8024  0.6048  12 Zr 3.12-3.15
Ag  0.0000  0.0000  0.0000  8 Zr 2.98, 4 Ag 3.15

Results
Calculated volume, A^3/atom: 20.92
ρ, g cm⁻³: 7.50
D(E_F), states/eV per atom: 0.891
SG: No. 139
Total moment, μB per cell: 0.0

---

Model 2:
Zr4Ag | GGA-PBEsol | optimized geometry

Lattice parameters (Å, degrees): 4.1091 5.4255 5.4255 81.76 67.75 67.75
Closest atoms and distances in Å follow each position.
Atoms (fractional coordinates):
Zr  0.8057  0.8039  0.5847  9 Zr 2.97-3.26, 3 Ag 3.09-3.10
Zr  0.6096  0.5847  0.1961  9 Zr 2.97-3.26, 3 Ag 3.09-3.10
Zr  0.1943  0.1961  0.4153  9 Zr 2.97-3.26, 3 Ag 3.09-3.10
Zr  0.3904  0.4153  0.8039  9 Zr 2.97-3.26, 3 Ag 3.09-3.10
Ag  0.0000  0.0000  0.0000  12 Zr 3.09-3.10

Results
Calculated volume, A^3/atom: 20.72
ρ, g cm⁻³: 7.58
D(E_F), states/eV per atom: 0.963
SG: No. 87
Total moment, μB per cell: 0.0

---

Model 3:
Zr4Ag | GGA-PBEsol | optimized geometry

Lattice parameters (Å, degrees): 3.2031 5.6745 6.2572 80.36 75.17 73.61
Closest atoms and distances in Å follow each position.
Atoms (fractional coordinates):
Zr  0.7857  0.6264  0.8021  2 Ag 2.94, 9 Zr 3.05-3.26
Ag  0.0000  0.0000  0.0000  8 Zr 2.94-2.96, 2 Ag 3.20
Zr  0.5866  0.2110  0.6158  2 Ag 2.96, 9 Zr 3.05-3.26
Zr  0.2143  0.3736  0.1979  2 Ag 2.94, 9 Zr 3.05-3.26
Zr  0.4134  0.7890  0.3842  2 Ag 2.96, 9 Zr 3.05-3.26

Results
Calculated volume, A^3/atom: 20.98
ρ, g cm⁻³: 7.48
D(E_F), states/eV per atom: 1.106
SG: No. 12
Total moment, μB per cell: 0.0

---

List of relative energies, unit meV/atom: model 1 0; model 2 49; model 3 40

---

Model 1:
Zr2Ag3 | GGA-PBEsol | optimized geometry

Lattice parameters (Å, degrees): 3.2417 5.1928 6.1441 78.42 74.70 71.81
Closest atoms and distances in Å follow each position.
Atoms (fractional coordinates):
Ag  0.5000  0.0000  0.0000  4 Ag 2.87, 6 Zr 2.95-3.07
Ag  0.8987  0.8140  0.3887  5 Ag 2.87-3.21, 5 Zr 2.92-2.95
Ag  0.1013  0.1860  0.6113  5 Ag 2.87-3.21, 5 Zr 2.92-2.95
Zr  0.3044  0.6016  0.7897  8 Ag 2.92-3.07, 4 Zr 3.03-3.24
Zr  0.6956  0.3984  0.2103  8 Ag 2.92-3.07, 4 Zr 3.03-3.24

Results
Calculated volume, A^3/atom: 18.80
ρ, g cm⁻³: 8.94
D(E_F), states/eV per atom: 0.720
SG: No. 12
Total moment, μB per cell: 0.0

---

Model 2:
Zr2Ag3 | GGA-PBEsol | optimized geometry

Lattice parameters (Å, degrees): 2.9227 4.1791 7.9507 105.24 100.59 90.00
Closest atoms and distances in Å follow each position.
Atoms (fractional coordinates):
Ag  0.0000  0.0000  0.0000  4 Ag 2.92-3.06, 8 Zr 2.99
Zr  0.6038  0.6038  0.2076  9 Ag 2.91-2.99, 3 Zr 2.92-3.13
Zr  0.3962  0.3962  0.7924  9 Ag 2.91-2.99, 3 Zr 2.92-3.13
Ag  0.7972  0.7972  0.5943  5 Zr 2.91-2.95, 7 Ag 2.92-3.06
Ag  0.2028  0.2028  0.4057  5 Zr 2.91-2.95, 7 Ag 2.92-3.06

Results
Calculated volume, A^3/atom: 18.40
ρ, g cm⁻³: 9.14
D(E_F), states/eV per atom: 0.743
SG: No. 71
Total moment, μB per cell: 0.0

---

Model 3:
Zr2Ag3 | GGA-PBEsol | optimized geometry

Lattice parameters (Å, degrees): 2.9584 2.9584 10.7094 97.94 97.94 90.00
Closest atoms and distances in Å follow each position.
Atoms (fractional coordinates):
Zr  0.8983  0.8983  0.7966  4 Zr 2.96, 8 Ag 2.99-3.00
Ag  0.2961  0.2961  0.5922  8 Ag 2.85-2.96, 4 Zr 3.00
Ag  0.5000  0.5000  0.0000  4 Ag 2.96, 8 Zr 2.99
Zr  0.1017  0.1017  0.2034  4 Zr 2.96, 8 Ag 2.99-3.00
Ag  0.7039  0.7039  0.4078  8 Ag 2.85-2.96, 4 Zr 3.00

Results
Calculated volume, A^3/atom: 18.38
ρ, g cm⁻³: 9.14
D(E_F), states/eV per atom: 0.858
SG: No. 139
Total moment, μB per cell: 0.0

---

List of relative energies, unit meV/atom: model 1 40; model 2 0; model 3 25

---

Model 1:
AlAsAu2 | GGA-PBEsol | optimized geometry

Lattice parameters (Å, degrees): 3.7037 3.7037 5.3142 90.00 90.00 90.00
Closest atoms and distances in Å follow each position.
Atoms (fractional coordinates):
Au  0.5000  0.5000  0.3190  2 As 2.64-2.67, 4 Al 2.69
Au  0.0000  0.0000  0.9212  2 Al 2.57-2.75, 4 As 2.67
Al  0.0000  0.0000  0.4381  6 Au 2.57-2.75
As  0.5000  0.5000  0.8218  6 Au 2.64-2.67

Results
Calculated volume, A^3/atom: 18.22
ρ, g cm⁻³: 11.29
D(E_F), states/eV per atom: 0.387
SG: No. 99
Total moment, μB per cell: 0.0

---

Model 2:
AlAsAu2 | GGA-PBEsol | optimized geometry

Lattice parameters (Å, degrees): 3.2013 4.3279 5.6237 102.96 90.00 111.71
Closest atoms and distances in Å follow each position.
Atoms (fractional coordinates):
Au  0.7421  0.4842  0.7269  3 Al 2.60-2.68, 3 As 2.76-2.77
Au  0.2579  0.5158  0.2731  3 Al 2.60-2.68, 3 As 2.76-2.77
Al  0.0000  0.0000  0.5000  6 Au 2.60-2.68
As  0.5000  0.0000  0.0000  6 Au 2.76-2.77

Results
Calculated volume, A^3/atom: 17.56
ρ, g cm⁻³: 11.72
D(E_F), states/eV per atom: 0.352
SG: No. 12
Total moment, μB per cell: 0.0

---

Model 3:
AlAsAu2 | GGA-PBEsol | optimized geometry

Lattice parameters (Å, degrees): 2.7901 5.3470 5.5816 118.62 104.47 90.00
Closest atoms and distances in Å follow each position.
Atoms (fractional coordinates):
Au  0.2329  0.2329  0.4659  2 Al 2.60, 2 Au 2.79, 2 As 2.87
Au  0.7671  0.7671  0.5341  2 Al 2.60, 2 Au 2.79, 2 As 2.87
As  0.0000  0.5000  0.0000  2 As 2.79, 4 Au 2.87, 4 Al 3.02
Al  0.5000  0.0000  0.0000  4 Au 2.60, 2 Al 2.79

Results
Calculated volume, A^3/atom: 17.52
ρ, g cm⁻³: 11.75
D(E_F), states/eV per atom: 0.507
SG: No. 71
Total moment, μB per cell: 0.0

---

List of relative energies, unit meV/atom: model 1 62; model 2 0; model 3 87

---

Model 1:
AlAsBr2 | GGA-PBEsol | optimized geometry

Lattice parameters (Å, degrees): 4.9708 4.9708 4.9708 60.00 60.00 60.00
Closest atoms and distances in Å follow each position.
Atoms (fractional coordinates):
Br  0.7500  0.7500  0.7500  4 As 3.04, 4 Al 3.04
Al  0.5000  0.5000  0.5000  8 Br 3.04
As  0.0000  0.0000  0.0000  8 Br 3.04
Br  0.2500  0.2500  0.2500  4 As 3.04, 4 Al 3.04

Results
Calculated volume, A^3/atom: 21.71
ρ, g cm⁻³: 5.00
D(E_F), states/eV per atom: 0.886
SG: No. 225
Total moment, μB per cell: 0.0

---

Model 2:
AlAsBr2 | GGA-PBEsol | optimized geometry

Lattice parameters (Å, degrees): 3.4951 5.0251 5.0251 90.00 90.00 90.00
Closest atoms and distances in Å follow each position.
Atoms (fractional coordinates):
Br  0.0000  0.5000  0.0000  4 As 3.06, 4 Al 3.06
As  0.5000  0.0000  0.0000  8 Br 3.06
Al  0.5000  0.5000  0.5000  8 Br 3.06
Br  0.0000  0.0000  0.5000  4 As 3.06, 4 Al 3.06

Results
Calculated volume, A^3/atom: 22.06
ρ, g cm⁻³: 4.92
D(E_F), states/eV per atom: 0.555
SG: No. 123
Total moment, μB per cell: 0.0

---

List of relative energies, unit meV/atom: model 1 75; model 2 0